The following is a DFT calculation (PBE) of a geometry-optimized Mn2In2Se5 structure.

```
Mn2In2Se5
1.0
2.021 1.167 16.842
-2.021 1.167 16.842
0.000 -2.334 16.842
Mn In Se
2 2 5
Cartesian
0.000 0.000 9.952 Mn
0.000 0.000 40.575 Mn
0.000 0.000 3.029 In
0.000 0.000 47.498 In
0.000 0.000 5.606 Se
0.000 0.000 18.602 Se
0.000 0.000 25.263 Se
0.000 0.000 31.924 Se
0.000 0.000 44.921 Se
```

Formation energy from raw total energies (eV per atom): -0.46
E above lowest polymorph (eV per atom): 0.000
Crystal system: trigonal

***

The following is a DFT calculation (PBE) of a geometry-optimized CsAg4Br7 structure.

```
CsAg4Br7
1.0
18.279 0.000 0.000
0.000 6.857 0.000
0.000 0.000 6.690
Cs Ag Br
2 8 14
Cartesian
0.000 1.588 0.000 Cs
9.139 5.269 3.345 Cs
2.206 5.912 3.799 Ag
4.452 4.478 0.239 Ag
4.688 2.379 3.584 Ag
6.934 0.945 0.455 Ag
11.345 0.945 0.455 Ag
13.591 2.379 3.584 Ag
13.827 4.478 0.239 Ag
16.073 5.912 3.799 Ag
0.000 5.325 2.505 Br
1.965 4.857 6.199 Br
2.203 1.632 3.192 Br
4.575 1.827 6.254 Br
4.565 5.029 2.909 Br
6.937 5.225 6.537 Br
7.175 2.000 2.854 Br
9.139 1.532 5.850 Br
11.104 2.000 2.854 Br
11.342 5.225 6.537 Br
13.704 1.827 6.254 Br
13.714 5.029 2.909 Br
16.076 1.632 3.192 Br
16.314 4.857 6.199 Br
```

Formation energy from raw total energies (eV per atom): -0.50
Crystal system: orthorhombic

***

The following is a DFT calculation (PBE) of a geometry-optimized BaCuRh2 structure.

```
BaCuRh2
1.0
4.234 0.000 0.000
0.000 4.249 0.000
0.000 0.000 4.315
Ba Cu Rh
1 1 2
Cartesian
0.000 0.000 0.000 Ba
2.117 2.124 0.000 Cu
0.000 2.124 2.158 Rh
2.117 0.000 2.158 Rh
```

E above lowest polymorph (eV per atom): 0.541
Formation energy (eV per atom): 0.43
Crystal system: orthorhombic